# KCaRu2

A relaxed KCaRu2 crystal (GGA-PBE, the Alexandria database).

**E_form**: 0.374 eV per atom
**Total magnetic moment**: 0.0 μB per formula unit
**Final energy**: -5.04 eV/atom
**Relative energy among the computed polymorphs**: 0 meV per atom

a = 4.0691 Å, b = 4.0691 Å, c = 9.0128 Å
α = 102.30°, β = 102.30°, γ = 59.98°
Last column: nearest neighbours and their distance in Å.
Fractional positions:
K 0.0000 0.0000 0.0000  6 Ru 3.37-3.75
Ca 0.1706 0.1706 0.5367  6 Ru 2.94-3.27
Ru 0.4394 0.4394 0.3336  3 Ru 2.40
Ru 0.7549 0.7549 0.2767  3 Ru 2.40

***

# KCaRu2

A relaxed KCaRu2 crystal (GGA-PBE, the Alexandria database).

**E_form**: 0.680 eV per atom
**Total magnetic moment**: 0.0 μB per formula unit
**Final energy**: -4.73 eV/atom
**Relative energy among the computed polymorphs**: 306 meV per atom

a = 5.6254 Å, b = 5.6254 Å, c = 7.0807 Å
α = 116.78°, β = 116.78°, γ = 42.18°
Last column: nearest neighbours and their distance in Å.
Fractional positions:
K 0.0000 0.0000 0.0000  6 Ru 3.48-3.68
Ca 0.5000 0.5000 0.5000  6 Ru 2.90-3.18
Ru 0.2551 0.2551 0.5828  2 Ru 2.32
Ru 0.7449 0.7449 0.4172  2 Ru 2.32

***

# KCaRu2

A relaxed KCaRu2 crystal (GGA-PBE, the Alexandria database).

**E_form**: 0.649 eV per atom
**Total magnetic moment**: 0.0 μB per formula unit
**Final energy**: -4.76 eV/atom
**Relative energy among the computed polymorphs**: 275 meV per atom

a = 6.7986 Å, b = 6.7986 Å, c = 6.7986 Å
α = 146.79°, β = 136.40°, γ = 55.89°
Last column: nearest neighbours and their distance in Å.
Fractional positions:
K 0.0000 0.0000 0.0000  8 Ru 3.57-3.80, 4 Ca 3.72-3.79, 2 K 3.89
Ca 0.7358 0.2358 0.5000  6 Ru 2.97-3.20
Ru 0.2636 0.7636 0.5000  2 Ru 2.30
Ru 0.3666 0.3666 0.0000  2 Ru 2.30

***

total magnetic moment of number 2 (KCaRu2)? 0.0 μB per formula unit

***

Please write out number 2 again, unchanged.
# KCaRu2

A relaxed KCaRu2 crystal (GGA-PBE, the Alexandria database).

**E_form**: 0.680 eV per atom
**Total magnetic moment**: 0.0 μB per formula unit
**Final energy**: -4.73 eV/atom
**Relative energy among the computed polymorphs**: 306 meV per atom

a = 5.6254 Å, b = 5.6254 Å, c = 7.0807 Å
α = 116.78°, β = 116.78°, γ = 42.18°
Last column: nearest neighbours and their distance in Å.
Fractional positions:
K 0.0000 0.0000 0.0000  6 Ru 3.48-3.68
Ca 0.5000 0.5000 0.5000  6 Ru 2.90-3.18
Ru 0.2551 0.2551 0.5828  2 Ru 2.32
Ru 0.7449 0.7449 0.4172  2 Ru 2.32